(1)
First-principles (PBE) data for LiGdDyY after structural relaxation, as listed in Alexandria via LeMat-Bulk.

Cell lengths 7.775, 7.775, 7.775 Å; angles 90.00, 90.00, 90.00 degrees
Space group F-43m (No. 216)
Asymmetric unit:
Li (0.000, 0.000, 0.000) (multiplicity 4)
Gd (0.250, 0.250, 0.250) (multiplicity 4)
Dy (0.000, 0.000, 0.500) (multiplicity 4)
Y (0.250, 0.250, 0.750) (multiplicity 4)

- VASP energy (eV/atom) = -6.59
- distance to the lowest polymorph of the same formula (meV per atom) = 0

(2)
First-principles (PBE) data for LiInF4 after structural relaxation, as listed in Alexandria via LeMat-Bulk.

Cell lengths 4.821, 11.983, 5.083 Å; angles 90.00, 90.00, 90.00 degrees
Space group Pbcn (No. 60)
Asymmetric unit:
Li (0.000, 0.055, 0.250) (multiplicity 4)
In (0.000, 0.331, 0.250) (multiplicity 4)
F (0.226, 0.192, 0.082) (multiplicity 8)
F (0.237, 0.058, 0.572) (multiplicity 8)

- VASP energy (eV/atom) = -4.70
- formation energy (no corrections) (meV/atom) = -2677

(3)
First-principles (PBE) data for TmPd4 after structural relaxation, as listed in Alexandria via LeMat-Bulk.

Cell lengths 4.881, 4.881, 4.881 Å; angles 90.00, 90.00, 90.00 degrees
Space group Pm-3m (No. 221)
Asymmetric unit:
Tm (0.000, 0.000, 0.000) (multiplicity 1)
Pd (0.000, 0.000, 0.500) (multiplicity 3)
Pd (0.500, 0.500, 0.500) (multiplicity 1)

- VASP energy (eV/atom) = -4.42

(4)
First-principles (PBE) data for NpPHPt after structural relaxation, as listed in Alexandria via LeMat-Bulk.

Cell lengths 4.1658, 4.1658, 3.9639 Å; angles 90.00, 90.00, 120.00 degrees
Space group P3m1 (No. 156)
Asymmetric unit:
Np (0.0000, 0.0000, 0.0000) (multiplicity 1)
P (0.3333, 0.6667, 0.4524) (multiplicity 1)
H (0.6667, 0.3333, 0.9892) (multiplicity 1)
Pt (0.6667, 0.3333, 0.5268) (multiplicity 1)

- VASP energy (eV/atom) = -7.56

(5)
First-principles (PBE) data for CaSbP2Cl after structural relaxation, as listed in Alexandria via LeMat-Bulk.

Cell lengths 5.079, 5.079, 5.278 Å; angles 90.00, 90.00, 90.00 degrees
Space group P4/mmm (No. 123)
Asymmetric unit:
Ca (0.000, 0.000, 0.000) (multiplicity 1)
Sb (0.500, 0.500, 0.500) (multiplicity 1)
P (0.000, 0.500, 0.500) (multiplicity 2)
Cl (0.500, 0.500, 0.000) (multiplicity 1)

- VASP energy (eV/atom) = -3.83
- distance to the lowest polymorph of the same formula (meV per atom) = 0
- formation energy (no corrections) (meV/atom) = -72

(6)
First-principles (PBE) data for Cd5Hg3Pb after structural relaxation, as listed in Alexandria via LeMat-Bulk.

Cell lengths 8.9280, 8.9280, 6.5465 Å; angles 90.00, 90.00, 120.00 degrees
Space group P6_3/mcm (No. 193)
Asymmetric unit:
Cd (0.0000, 0.3338, 0.2500) (multiplicity 6)
Cd (0.3333, 0.6667, 0.0000) (multiplicity 4)
Hg (0.0000, 0.3436, 0.7500) (multiplicity 6)
Pb (0.0000, 0.0000, 0.0000) (multiplicity 2)

- VASP energy (eV/atom) = -0.97
- distance to the lowest polymorph of the same formula (meV per atom) = 16

(7)
First-principles (PBE) data for La3Mg after structural relaxation, as listed in Alexandria via LeMat-Bulk.

Cell lengths 3.6773, 3.6773, 34.9576 Å; angles 90.00, 90.00, 120.00 degrees
Space group R-3m (No. 166, hexagonal axes)
Asymmetric unit:
La (0.0000, 0.0000, 0.0000) (multiplicity 3)
La (0.0000, 0.0000, 0.2474) (multiplicity 6)
Mg (0.0000, 0.0000, 0.5000) (multiplicity 3)

- VASP energy (eV/atom) = -4.09

(8)
First-principles (PBE) data for CaAc2Ni2 after structural relaxation, as listed in Alexandria via LeMat-Bulk.

Cell lengths 4.269, 16.743, 4.082 Å; angles 90.00, 90.00, 90.00 degrees
Space group Cmmm (No. 65)
Asymmetric unit:
Ca (0.000, 0.000, 0.000) (multiplicity 2)
Ac (0.000, 0.345, 0.500) (multiplicity 4)
Ni (0.000, 0.204, 0.000) (multiplicity 4)

- VASP energy (eV/atom) = -4.56
- distance to the lowest polymorph of the same formula (meV per atom) = 0

(9)
First-principles (PBE) data for Sr2LiCd3Sn4 after structural relaxation, as listed in Alexandria via LeMat-Bulk.

Cell lengths 4.742, 4.742, 12.514 Å; angles 90.00, 90.00, 90.00 degrees
Space group P-4m2 (No. 115)
Asymmetric unit:
Sr (0.000, 0.500, 0.238) (multiplicity 2)
Li (0.500, 0.500, 0.000) (multiplicity 1)
Cd (0.000, 0.000, 0.000) (multiplicity 1)
Cd (0.000, 0.500, 0.646) (multiplicity 2)
Sn (0.000, 0.000, 0.500) (multiplicity 1)
Sn (0.000, 0.500, 0.868) (multiplicity 2)
Sn (0.500, 0.500, 0.500) (multiplicity 1)

- VASP energy (eV/atom) = -2.79

(10)
First-principles (PBE) data for CeInPt after structural relaxation, as listed in Alexandria via LeMat-Bulk.

Cell lengths 4.310, 4.310, 7.568 Å; angles 90.00, 90.00, 90.00 degrees
Space group P4/nmm (No. 129, origin choice 2)
Asymmetric unit:
Ce (0.250, 0.250, 0.149) (multiplicity 2)
In (0.250, 0.750, 0.500) (multiplicity 2)
Pt (0.250, 0.250, 0.773) (multiplicity 2)

- VASP energy (eV/atom) = -5.69

(11)
First-principles (PBE) data for ErTm3Ga8 after structural relaxation, as listed in Alexandria via LeMat-Bulk.

Cell lengths 5.4419, 5.4419, 27.0403 Å; angles 90.00, 90.00, 120.00 degrees
Space group R3m (No. 160, hexagonal axes)
Asymmetric unit:
Er (0.0000, 0.0000, 0.0000) (multiplicity 3)
Tm (0.0000, 0.0000, 0.1239) (multiplicity 3)
Tm (0.0000, 0.0000, 0.5001) (multiplicity 3)
Tm (0.0000, 0.0000, 0.6238) (multiplicity 3)
Ga (0.0000, 0.0000, 0.3119) (multiplicity 3)
Ga (0.0000, 0.0000, 0.8120) (multiplicity 3)
Ga (0.0000, 0.5000, 0.0621) (multiplicity 9)
Ga (0.9999, 0.5000, 0.5619) (multiplicity 9)

- VASP energy (eV/atom) = -4.04

(12)
First-principles (PBE) data for Ta2MnBe after structural relaxation, as listed in Alexandria via LeMat-Bulk.

Cell lengths 3.055, 4.256, 8.821 Å; angles 90.00, 90.00, 90.00 degrees
Space group Imm2 (No. 44)
Asymmetric unit:
Ta (0.000, 0.000, 0.000) (multiplicity 2)
Ta (0.000, 0.500, 0.229) (multiplicity 2)
Mn (0.000, 0.500, 0.731) (multiplicity 2)
Be (0.000, 0.000, 0.447) (multiplicity 2)

- VASP energy (eV/atom) = -9.11